No. 1
Density functional theory data (meta-GGA SCAN) for a crystal of AgTe relaxed with PBEsol.

The structure in POSCAR format:
```
AgTe
1.0
4.190 0.000 0.000
-2.095 3.628 0.000
0.000 0.000 6.546
Ag Te
2 2
direct
0.333 0.667 0.250
0.667 0.333 0.750
0.000 0.000 0.000
0.000 0.000 0.500
```

No. 2
Density functional theory data (meta-GGA SCAN) for a crystal of Ag2Te relaxed with PBEsol.

The structure in POSCAR format:
```
Ag2Te
1.0
4.481 0.000 0.000
-2.240 3.880 0.000
0.000 0.000 8.316
Ag Te
4 2
direct
0.333 0.667 0.085
0.333 0.667 0.415
0.667 0.333 0.585
0.667 0.333 0.915
0.333 0.667 0.750
0.667 0.333 0.250
```

No. 3
Density functional theory data (meta-GGA SCAN) for a crystal of AgTe relaxed with PBEsol.

The structure in POSCAR format:
```
AgTe
1.0
7.575 0.000 0.000
-3.787 6.560 0.000
0.000 0.000 3.163
Ag Te
3 3
direct
0.000 0.638 0.000
0.362 0.362 0.000
0.638 0.000 0.000
0.000 0.000 0.000
0.333 0.667 0.500
0.667 0.333 0.500
```

No. 4
Density functional theory data (meta-GGA SCAN) for a crystal of AgTe relaxed with PBEsol.

The structure in POSCAR format:
```
AgTe
1.0
0.000 3.564 3.564
3.564 0.000 3.564
3.564 3.564 0.000
Ag Te
2 2
direct
0.125 0.125 0.125
0.875 0.875 0.875
0.375 0.375 0.375
0.625 0.625 0.625
```

No. 5
Density functional theory data (meta-GGA SCAN) for a crystal of AgTe3 relaxed with PBEsol.

The structure in POSCAR format:
```
AgTe3
1.0
2.128 1.228 6.872
-2.128 1.228 6.872
0.000 -2.457 6.872
Ag Te
1 3
direct
0.000 0.000 0.000
0.261 0.261 0.261
0.500 0.500 0.500
0.739 0.739 0.739
```

No. 6
Density functional theory data (meta-GGA SCAN) for a crystal of Ag2Te relaxed with PBEsol.

The structure in POSCAR format:
```
Ag2Te
1.0
7.834 0.000 0.000
0.000 4.393 0.000
-4.843 0.000 7.570
Ag Te
8 4
direct
0.034 0.125 0.158
0.034 0.375 0.658
0.331 0.640 0.345
0.331 0.860 0.845
0.669 0.140 0.155
0.669 0.360 0.655
0.966 0.625 0.342
0.966 0.875 0.842
0.277 0.141 0.535
0.277 0.359 0.035
0.723 0.641 0.965
0.723 0.859 0.465
```

No. 7
Density functional theory data (meta-GGA SCAN) for a crystal of AgTe relaxed with PBEsol.

The structure in POSCAR format:
```
AgTe
1.0
1.601 0.925 10.420
-1.601 0.925 10.420
0.000 -1.849 10.420
Ag Te
2 2
direct
0.132 0.132 0.132
0.868 0.868 0.868
0.391 0.391 0.391
0.609 0.609 0.609
```

No. 8
Density functional theory data (meta-GGA SCAN) for a crystal of TlAg2Te relaxed with PBEsol.

Calculated values
* energy above the lowest structure with this stoichiometry: 0.048 eV per atom

The structure in POSCAR format:
```
TlAg2Te
1.0
1.647 0.951 9.614
-1.647 0.951 9.614
0.000 -1.902 9.614
Tl Ag Te
1 2 1
direct
0.000 0.000 0.000
0.485 0.485 0.485
0.748 0.748 0.748
0.230 0.230 0.230
```

no.,density (g cm⁻³),formation energy without anion corrections (eV/atom),magnetic moment (μB per cell)
1,7.9,0.0673,0.00
2,7.9,-0.0315,0.00
3,7.5,-0.0068,0.00
4,8.6,0.3780,0.00
5,7.6,0.0209,0.00
6,8.8,-0.0749,0.00
7,8.4,0.1622,0.00
8,10.1,0.1674,0.00